Entry 1:
Density functional theory data (PBE-GGA) for a geometry-optimized U2SnSb5 structure.

abc: 4.3633 8.0525 12.5618
angles: 90.00 90.00 90.00
Each line ends with the local moment (μB).
Fractional positions:
U1 0.5000 0.6165 0.1683  2.24
U2 0.5000 0.1165 0.3317  2.24
U3 0.5000 0.8835 0.6683  2.24
U4 0.5000 0.3835 0.8317  2.24
Sb1 0.0000 0.5000 0.0000  -0.02
Sb2 0.5000 0.2350 0.0802  -0.02
Sb3 0.0000 0.8844 0.2249  -0.05
Sb4 0.5000 0.7650 0.9198  -0.02
Sb5 0.0000 0.6156 0.7249  -0.05
Sb6 0.0000 0.3844 0.2751  -0.05
Sb7 0.5000 0.7350 0.4198  -0.02
Sb8 0.5000 0.2650 0.5802  -0.02
Sb9 0.0000 0.1156 0.7751  -0.05
Sb10 0.0000 0.0000 0.5000  -0.02
Sn1 0.0000 0.5000 0.5000  0.00
Sn2 0.0000 0.0000 0.0000  0.00

***

Entry 2:
Density functional theory data (PBE-GGA) for a geometry-optimized V6SnSb structure.

abc: 4.5306 5.6688 5.6688
angles: 121.60 90.00 90.00
Fractional positions:
V1 0.5000 0.9606 0.6038
V2 0.5000 0.3962 0.0394
V3 0.5000 0.4109 0.5891
V4 0.0000 0.0882 0.9118
V5 0.0000 0.5416 0.8973
V6 0.0000 0.1027 0.4584
Sn1 0.5000 0.9165 0.0835
Sb1 0.0000 0.5832 0.4168

***

Entry 3:
Density functional theory data (PBE-GGA) for a geometry-optimized VSn2Sb2 structure.

abc: 7.1132 7.1132 5.2037
angles: 90.00 90.00 90.00
Each line ends with the local moment (μB).
Fractional positions:
Sb1 0.1496 0.3504 0.0000  -0.05
Sb2 0.6496 0.1496 0.0000  -0.05
Sb3 0.3504 0.8504 0.0000  -0.05
Sb4 0.8504 0.6496 0.0000  -0.05
V1 0.5000 0.5000 0.0000  2.14
V2 0.0000 0.0000 0.0000  2.14
Sn1 0.8280 0.3280 0.5000  -0.02
Sn2 0.3280 0.1720 0.5000  -0.02
Sn3 0.1720 0.6720 0.5000  -0.02
Sn4 0.6720 0.8280 0.5000  -0.02

***

Entry 4:
Density functional theory data (PBE-GGA) for a geometry-optimized VSn2Sb4 structure.

abc: 4.8989 4.8989 9.4799
angles: 75.03 75.03 90.00
Fractional positions:
Sb1 0.1574 0.1574 0.6853
Sb2 0.5000 0.0000 0.0000
Sb3 0.8426 0.8426 0.3147
Sb4 0.0000 0.5000 0.0000
Sn1 0.6762 0.6762 0.6476
Sn2 0.3238 0.3238 0.3524
V1 0.0000 0.0000 0.0000

***

Entry 5:
Density functional theory data (PBE-GGA) for a geometry-optimized VSn2Sb2 structure.

abc: 4.0378 4.0378 9.0867
angles: 77.16 77.16 90.00
Each line ends with the local moment (μB).
Fractional positions:
Sb1 0.2500 0.7500 0.5000  0.03
Sb2 0.7500 0.2500 0.5000  0.03
Sn1 0.4142 0.4142 0.1716  -0.04
Sn2 0.5858 0.5858 0.8284  -0.04
V1 0.0000 0.0000 0.0000  2.61

***

Entry 6:
Density functional theory data (PBE-GGA) for a geometry-optimized V2Sn2Sb structure.

abc: 6.9355 6.9355 4.1876
angles: 90.00 90.00 90.00
Fractional positions:
Sn1 0.6628 0.8372 0.5000
Sn2 0.3372 0.1628 0.5000
Sn3 0.1628 0.6628 0.5000
Sn4 0.8372 0.3372 0.5000
V1 0.6243 0.1243 0.0000
V2 0.1243 0.3757 0.0000
V3 0.8757 0.6243 0.0000
V4 0.3757 0.8757 0.0000
Sb1 0.0000 0.0000 0.0000
Sb2 0.5000 0.5000 0.0000

***

Number 1: formation energy from raw total energies -0.137 eV/atom, uncorrected energy -6.0358 eV/atom. Number 2: formation energy from raw total energies -0.068 eV/atom, uncorrected energy -7.9227 eV/atom. Number 3: formation energy from raw total energies 0.230 eV/atom, uncorrected energy -4.8436 eV/atom. Number 4: formation energy from raw total energies 0.305 eV/atom, uncorrected energy -4.4965 eV/atom. Number 5: formation energy from raw total energies 0.584 eV/atom, uncorrected energy -4.4898 eV/atom. Number 6: formation energy from raw total energies 0.166 eV/atom, uncorrected energy -5.9071 eV/atom.